A relaxed structure of SmTm2PuBi4. Source: Alexandria via LeMat-Bulk, functional PBE-GGA.

The structure in extended XYZ format:
```
8
Lattice="4.497 0.000 0.000 0.000 7.786 0.137 0.000 -2.717 7.283" Properties=species:S:1:pos:R:3 pbc="T T T"
Sm 0.000 0.000 0.000
Tm 2.248 -1.359 3.641
Tm 0.000 2.534 3.710
Pu 2.248 3.893 0.069
Bi 2.248 1.274 1.914
Bi 2.248 3.795 5.506
Bi 0.000 -0.083 5.442
Bi 0.000 5.152 1.978
```

Values from the calculation:
DOS at the Fermi energy = 2.222 states/eV/atom
size of the total moment = 5.2 μB per formula unit
calculated volume = 32.1 A^3/atom
total energy = -49.1 eV/cell